1.
VASP calculation (PBE) on a relaxed structure of Nd2MgIr2.

Unit cell a=10.333 b=5.633 c=8.250 alpha=90.00 beta=107.21 gamma=90.00
Space group C2/c (No. 15)
Symmetry-distinct sites (fractional):
Nd  0.146  0.151  0.147 [8 per cell]
Mg  0.000  0.373  0.750 [4 per cell]
Ir  0.140  0.348  0.516 [8 per cell]

Computed properties:
ΔH_f (0 K) in kJ/mol of atoms: -59.3
Density of states at the Fermi level in states/eV per cell: 8.9

***

2.
VASP calculation (PBE) on a relaxed structure of EuDy2Mg.

Unit cell a=7.891 b=7.891 c=7.891 alpha=90.00 beta=90.00 gamma=90.00
Space group Fm-3m (No. 225)
Symmetry-distinct sites (fractional):
Eu  0.000  0.000  0.000 [4 per cell]
Dy  0.250  0.250  0.250 [8 per cell]
Mg  0.000  0.000  0.500 [4 per cell]

Computed properties:
ΔH_f (0 K) in kJ/mol of atoms: 7.8
Relative energy among the computed polymorphs in meV per atom: 60
Density of states at the Fermi level in states/eV per cell: 12.5

***

3.
VASP calculation (PBE) on a relaxed structure of Al2SiBAs.

Unit cell a=4.790 b=4.790 c=4.842 alpha=90.00 beta=90.00 gamma=90.00
Space group P4/mmm (No. 123)
Symmetry-distinct sites (fractional):
Al  0.000  0.500  0.000 [2 per cell]
Si  0.000  0.000  0.500 [1 per cell]
B  0.500  0.500  0.500 [1 per cell]
As  0.000  0.000  0.000 [1 per cell]

Computed properties:
Relative energy among the computed polymorphs in meV per atom: 1088
Density of states at the Fermi level in states/eV per cell: 2.6

***

4.
VASP calculation (PBE) on a relaxed structure of Ho3Be.

Unit cell a=3.423 b=3.582 c=8.977 alpha=90.00 beta=90.00 gamma=90.00
Space group Pmm2 (No. 25)
Symmetry-distinct sites (fractional):
Ho  0.000  0.000  0.000 [1 per cell]
Ho  0.000  0.500  0.333 [1 per cell]
Ho  0.500  0.500  0.720 [1 per cell]
Be  0.500  0.000  0.473 [1 per cell]

Computed properties:
ΔH_f (0 K) in kJ/mol of atoms: 33.3
Relative energy among the computed polymorphs in meV per atom: 244
Density of states at the Fermi level in states/eV per cell: 4.3

***

5.
VASP calculation (PBE) on a relaxed structure of CdNiSb2I.

Unit cell a=5.486 b=5.486 c=5.880 alpha=90.00 beta=90.00 gamma=90.00
Space group P4/mmm (No. 123)
Symmetry-distinct sites (fractional):
Cd  0.000  0.000  0.000 [1 per cell]
Ni  0.500  0.500  0.500 [1 per cell]
Sb  0.000  0.500  0.000 [2 per cell]
I  0.000  0.000  0.500 [1 per cell]

Computed properties:
Relative energy among the computed polymorphs in meV per atom: 840
Density of states at the Fermi level in states/eV per cell: 11.2

***

6.
VASP calculation (PBE) on a relaxed structure of TlCuAs.

Unit cell a=3.986 b=3.988 c=8.512 alpha=90.00 beta=90.08 gamma=90.00
Space group P2_1/m (No. 11)
Symmetry-distinct sites (fractional):
Tl  0.249  0.250  0.155 [2 per cell]
Cu  0.249  0.750  0.500 [2 per cell]
As  0.251  0.250  0.675 [2 per cell]

Computed properties:
ΔH_f (0 K) in kJ/mol of atoms: 0.0
Relative energy among the computed polymorphs in meV per atom: 0
Density of states at the Fermi level in states/eV per cell: 2.6

***

7.
VASP calculation (PBE) on a relaxed structure of Er4Fe2Te.

Unit cell a=3.927 b=10.661 c=17.095 alpha=90.00 beta=90.00 gamma=90.00
Space group Cmcm (No. 63)
Symmetry-distinct sites (fractional):
Er  0.000  0.000  0.000 [4 per cell]
Er  0.000  0.312  0.129 [8 per cell]
Er  0.000  0.370  0.750 [4 per cell]
Fe  0.000  0.293  0.532 [8 per cell]
Te  0.000  0.078  0.750 [4 per cell]

Computed properties:
Total energy in eV per atom: -5.66
Density of states at the Fermi level in states/eV per cell: 28.0

***

8.
VASP calculation (PBE) on a relaxed structure of RbMgAs2Br.

Unit cell a=6.981 b=6.981 c=6.297 alpha=90.00 beta=90.00 gamma=90.00
Space group P4/mmm (No. 123)
Symmetry-distinct sites (fractional):
Rb  0.000  0.000  0.000 [1 per cell]
Mg  0.500  0.500  0.500 [1 per cell]
As  0.000  0.500  0.000 [2 per cell]
Br  0.000  0.000  0.500 [1 per cell]

Computed properties:
Relative energy among the computed polymorphs in meV per atom: 1111
Density of states at the Fermi level in states/eV per cell: 3.8

***

9.
VASP calculation (PBE) on a relaxed structure of BRuS2Cl.

Unit cell a=4.527 b=4.527 c=5.050 alpha=90.00 beta=90.00 gamma=90.00
Space group P4/mmm (No. 123)
Symmetry-distinct sites (fractional):
B  0.000  0.000  0.000 [1 per cell]
Ru  0.500  0.500  0.500 [1 per cell]
S  0.000  0.500  0.500 [2 per cell]
Cl  0.500  0.500  0.000 [1 per cell]

Computed properties:
Relative energy among the computed polymorphs in meV per atom: 47
Density of states at the Fermi level in states/eV per cell: 3.8

***

10.
VASP calculation (PBE) on a relaxed structure of LaTbPd4.

Unit cell a=7.799 b=7.799 c=7.799 alpha=90.00 beta=90.00 gamma=90.00
Space group F-43m (No. 216)
Symmetry-distinct sites (fractional):
La  0.000  0.000  0.000 [4 per cell]
Tb  0.250  0.250  0.250 [4 per cell]
Pd  0.125  0.125  0.625 [16 per cell]

Computed properties:
ΔH_f (0 K) in kJ/mol of atoms: -77.3
Relative energy among the computed polymorphs in meV per atom: 52
Density of states at the Fermi level in states/eV per cell: 2.5

***

11.
VASP calculation (PBE) on a relaxed structure of CePr4Ho15.

Unit cell a=5.051 b=5.051 c=25.073 alpha=90.00 beta=90.00 gamma=90.00
Space group P4/mmm (No. 123)
Symmetry-distinct sites (fractional):
Ce  0.000  0.000  0.000 [1 per cell]
Pr  0.000  0.000  0.198 [2 per cell]
Pr  0.000  0.000  0.399 [2 per cell]
Ho  0.000  0.500  0.097 [4 per cell]
Ho  0.000  0.500  0.299 [4 per cell]
Ho  0.000  0.500  0.500 [2 per cell]
Ho  0.500  0.500  0.000 [1 per cell]
Ho  0.500  0.500  0.199 [2 per cell]
Ho  0.500  0.500  0.399 [2 per cell]

Computed properties:
ΔH_f (0 K) in kJ/mol of atoms: 3.0
Density of states at the Fermi level in states/eV per cell: 28.3

***

12.
VASP calculation (PBE) on a relaxed structure of Ta2B2W.

Unit cell a=2.794 b=2.794 c=17.032 alpha=90.00 beta=90.00 gamma=90.00
Space group I4/mmm (No. 139)
Symmetry-distinct sites (fractional):
Ta  0.000  0.000  0.135 [4 per cell]
B  0.000  0.500  0.250 [4 per cell]
W  0.000  0.000  0.500 [2 per cell]

Computed properties:
ΔH_f (0 K) in kJ/mol of atoms: 23.0
Relative energy among the computed polymorphs in meV per atom: 913
Density of states at the Fermi level in states/eV per cell: 6.9